{
  "formula": "Er12HfSc7",
  "functional": "PBE",
  "state": "relaxed",
  "total_energy_ev_per_cell": -105.39,
  "magnetic_moment_mub_per_fu": 2.29,
  "lattice_angstrom": [[-4.621, -6.744, -3.582], [-0.557, -0.622, 8.886], [-3.810, 7.667, -2.522]],
  "species": ["Er", "Er", "Er", "Er", "Er", "Er", "Er", "Er", "Er", "Er", "Er", "Er", "Hf", "Sc", "Sc", "Sc", "Sc", "Sc", "Sc", "Sc"],
  "frac_coords": [[0.803, 0.320, 0.603], [0.680, 0.397, 0.197], [0.398, 0.075, 0.291], [0.925, 0.709, 0.602], [0.397, 0.197, 0.680], [0.709, 0.602, 0.925], [0.291, 0.398, 0.075], [0.603, 0.803, 0.320], [0.075, 0.291, 0.398], [0.602, 0.925, 0.709], [0.320, 0.603, 0.803], [0.197, 0.680, 0.397], [0.000, 0.000, 0.000], [0.105, 0.692, 0.010], [0.308, 0.990, 0.895], [0.990, 0.895, 0.308], [0.500, 0.500, 0.500], [0.010, 0.105, 0.692], [0.692, 0.010, 0.105], [0.895, 0.308, 0.990]]
}